[1]
This record from Alexandria describes a crystal of PrFe4P12 relaxed with PBEsol. The functional is SCAN.

The structure belongs to space group Im-3 (No. 204); the cell edges are 7.7294, 7.7294 and 7.7294 Å and the angles 90.00°, 90.00° and 90.00°. Symmetry generates all atoms from Pr at (0.0000, 0.0000, 0.0000), Fe at (0.2500, 0.2500, 0.2500) and P at (0.0000, 0.1533, 0.3529).

The formation energy from the elements comes out at -56.4 kJ/mol of atoms. Its total magnetization is 0.00 μB per cell. Its total DFT energy (no corrections) is -250.564 eV per formula unit. As for the density of states at the Fermi level: 12.67 states/eV/cell.

***

[2]
This record from Alexandria describes a crystal of FePPt2 relaxed with PBEsol. The functional is SCAN.

The structure belongs to space group I-4m2 (No. 119); the cell edges are 3.7673, 3.7673 and 7.7790 Å and the angles 90.00°, 90.00° and 90.00°. Symmetry generates all atoms from Fe at (0.0000, 0.0000, 0.0000), P at (0.0000, 0.5000, 0.2500), Pt at (0.0000, 0.0000, 0.5000) and Pt at (0.0000, 0.5000, 0.7500).

The formation energy from the elements comes out at -1.6 kJ/mol of atoms. Its total magnetization is 7.66 μB per cell. Its total DFT energy (no corrections) is -168.982 eV per formula unit. As for the density of states at the Fermi level: 5.59 states/eV/cell.

***

[3]
This record from Alexandria describes a crystal of FePPt relaxed with PBEsol. The functional is SCAN.

The structure belongs to space group F-43m (No. 216); the cell edges are 5.3901, 5.3901 and 5.3901 Å and the angles 90.00°, 90.00° and 90.00°. Symmetry generates all atoms from Fe at (0.0000, 0.0000, 0.0000), P at (0.2500, 0.2500, 0.7500) and Pt at (0.0000, 0.0000, 0.5000).

The formation energy from the elements comes out at -37.0 kJ/mol of atoms. Its total magnetization is 0.00 μB per cell. Its total DFT energy (no corrections) is -99.873 eV per formula unit. As for the density of states at the Fermi level: 5.01 states/eV/cell.

***

[4]
This record from Alexandria describes a crystal of FeP2Pt relaxed with PBEsol. The functional is SCAN.

The structure belongs to space group C2/m (No. 12); the cell edges are 7.2495, 2.8756 and 4.8846 Å and the angles 90.00°, 102.16° and 90.00°. Symmetry generates all atoms from Fe at (0.0000, 0.0000, 0.0000), P at (0.2389, 0.5000, 0.2138) and Pt at (0.0000, 0.5000, 0.5000).

The formation energy from the elements comes out at -4.4 kJ/mol of atoms. Its total magnetization is 3.54 μB per cell. As for the energy relative to the lowest polymorph listed for this composition: 174.8 meV per atom. Its total DFT energy (no corrections) is -109.302 eV per formula unit. As for the density of states at the Fermi level: 4.80 states/eV/cell.